The following is a PBE calculation of a geometry-optimized CsSmSi structure, from the Open Quantum Materials Database.

a = 7.641 Å, b = 7.641 Å, c = 7.641 Å
α = 90.00°, β = 90.00°, γ = 90.00°
Positions (direct):
Cs: 0.000 0.000 0.000
Cs: 0.000 0.500 0.500
Cs: 0.500 0.000 0.500
Cs: 0.500 0.500 0.000
Sm: 0.000 0.000 0.500
Sm: 0.000 0.500 0.000
Sm: 0.500 0.000 0.000
Sm: 0.500 0.500 0.500
Si: 0.250 0.250 0.250
Si: 0.250 0.750 0.750
Si: 0.750 0.250 0.750
Si: 0.750 0.750 0.250

Uncorrected energy, Ry per atom: -0.239
M_tot, μB per formula unit: 0.00
Symmetry: No. 216

=====

The following is a PBE calculation of a geometry-optimized YCdAs2 structure, from the Open Quantum Materials Database.

a = 7.097 Å, b = 7.097 Å, c = 7.097 Å
α = 90.00°, β = 90.00°, γ = 90.00°
Positions (direct):
Y: 0.000 0.000 0.000
Y: 0.000 0.500 0.500
Y: 0.500 0.000 0.500
Y: 0.500 0.500 0.000
Cd: 0.250 0.250 0.750
Cd: 0.250 0.750 0.250
Cd: 0.750 0.250 0.250
Cd: 0.750 0.750 0.750
As: 0.000 0.000 0.500
As: 0.000 0.500 0.000
As: 0.250 0.250 0.250
As: 0.250 0.750 0.750
As: 0.500 0.000 0.000
As: 0.500 0.500 0.500
As: 0.750 0.250 0.750
As: 0.750 0.750 0.250

Uncorrected energy, Ry per atom: -0.320
M_tot, μB per formula unit: 0.00
Symmetry: No. 216